[1]
Compound: InSi2Os
Source: Alexandria
Functional: PBE
Structure: relaxed

Cell lengths 8.1703, 8.1703, 8.1703 Å; angles 21.88, 21.88, 21.88 degrees
Fractional positions:
1 Si 0.2609 0.2609 0.2609
2 Os 0.7380 0.7380 0.7380
3 Si 0.0029 0.0029 0.0029
4 In 0.4982 0.4982 0.4982

Calculated values
The density of states at the Fermi level comes out at 0.710 states/eV per atom. The space group is R3m (160).

=====

[2]
Compound: InSi2Os
Source: Alexandria
Functional: PBE
Structure: relaxed

Cell lengths 2.9107, 2.9107, 9.2141 Å; angles 90.00, 90.00, 118.90 degrees
Fractional positions:
1 Si 0.5000 0.5000 0.2098
2 Os 0.5000 0.5000 0.7885
3 Si 0.0000 0.0000 0.9873
4 In 0.0000 0.0000 0.5144

Calculated values
The density of states at the Fermi level comes out at 0.631 states/eV per atom. The space group is Cmm2 (35).

=====

[3]
Compound: InSi2Os
Source: Alexandria
Functional: PBE
Structure: relaxed

Cell lengths 4.4902, 4.4902, 6.3886 Å; angles 70.87, 70.87, 38.99 degrees
Fractional positions:
1 Si 0.0632 0.0632 0.8870
2 In 0.4188 0.4188 0.4953
3 Os 0.7774 0.7774 0.9043
4 Si 0.2406 0.2406 0.2134

Calculated values
The density of states at the Fermi level comes out at 0.317 states/eV per atom. The space group is Cm (8).

=====

no.,formation energy from raw total energies (eV/atom)
1,0.29
2,0.49
3,0.05